The following is a PBE calculation of Ca2RuPtO6 after structural relaxation, from Alexandria via LeMat-Bulk.

VASP energy, eV per atom: -6.376
Calculated volume, Å³/atom: 13.10
Space-group type: P4mm
ρ, g cm⁻³: 5.987
Spin magnetization, μB/f.u.: 2.4
Energy relative to the elements, uncorrected, eV/atom: -1.47

Geometry as CIF:
```
data_Ca2RuPtO6
_space_group_name_H-M_alt 'P 1'
_space_group_IT_number 1
_cell_length_a 5.531
_cell_length_b 5.531
_cell_length_c 4.281
_cell_angle_alpha 90.00
_cell_angle_beta 90.00
_cell_angle_gamma 90.00
loop_
_space_group_symop_operation_xyz
'x,y,z'
loop_
_atom_site_label
_atom_site_type_symbol
_atom_site_fract_x
_atom_site_fract_y
_atom_site_fract_z
Ca1 Ca 0.000 0.500 0.000
Ca2 Ca 0.500 0.000 0.000
Ru1 Ru 0.000 0.000 0.569
Pt1 Pt 0.500 0.500 0.592
O1 O 0.000 0.000 0.127
O2 O 0.244 0.244 0.664
O3 O 0.244 0.756 0.664
O4 O 0.500 0.500 0.106
O5 O 0.756 0.244 0.664
O6 O 0.756 0.756 0.664
```

=====

The following is a PBE calculation of CaSc2PtO after structural relaxation, from Alexandria via LeMat-Bulk.

VASP energy, eV per atom: -3.840
ΔE to the lowest computed polymorph, meV/atom: 2860
Calculated volume, Å³/atom: 27.56
Space-group type: P4/mmm
ρ, g cm⁻³: 4.109
Spin magnetization, μB/f.u.: 1.5
Energy relative to the elements, uncorrected, eV/atom: 1.29

Geometry as CIF:
```
data_CaSc2PtO
_space_group_name_H-M_alt 'P 1'
_space_group_IT_number 1
_cell_length_a 5.400
_cell_length_b 5.400
_cell_length_c 4.726
_cell_angle_alpha 90.00
_cell_angle_beta 90.00
_cell_angle_gamma 90.00
loop_
_space_group_symop_operation_xyz
'x,y,z'
loop_
_atom_site_label
_atom_site_type_symbol
_atom_site_fract_x
_atom_site_fract_y
_atom_site_fract_z
Ca1 Ca 0.000 0.000 0.000
Sc1 Sc 0.000 0.500 0.000
Sc2 Sc 0.500 0.000 0.000
Pt1 Pt 0.000 0.000 0.500
O1 O 0.500 0.500 0.500
```

=====

The following is a PBE calculation of CaSc2PtO after structural relaxation, from Alexandria via LeMat-Bulk.

VASP energy, eV per atom: -6.700
ΔE to the lowest computed polymorph, meV/atom: 0
Calculated volume, Å³/atom: 17.75
Space-group type: P4/mmm
ρ, g cm⁻³: 6.383
Spin magnetization, μB/f.u.: 0.0
Energy relative to the elements, uncorrected, eV/atom: -1.57

Geometry as CIF:
```
data_CaSc2PtO
_space_group_name_H-M_alt 'P 1'
_space_group_IT_number 1
_cell_length_a 4.321
_cell_length_b 4.321
_cell_length_c 4.753
_cell_angle_alpha 90.00
_cell_angle_beta 90.00
_cell_angle_gamma 90.00
loop_
_space_group_symop_operation_xyz
'x,y,z'
loop_
_atom_site_label
_atom_site_type_symbol
_atom_site_fract_x
_atom_site_fract_y
_atom_site_fract_z
Ca1 Ca 0.000 0.000 0.000
Sc1 Sc 0.000 0.500 0.500
Sc2 Sc 0.500 0.000 0.500
Pt1 Pt 0.500 0.500 0.000
O1 O 0.000 0.000 0.500
```